A plane-wave DFT calculation with GGA-PBE was carried out for a relaxed structure of NaAc2Dy.

Cell and atoms, written as extended XYZ:
```
4
Lattice="-1.6079 0.4130 3.6561 1.9337 -5.7301 1.4977 5.3715 2.3604 2.0956" Properties=species:S:1:pos:R:3 pbc="T T T"
Na -0.8039 0.2065 1.8281
Ac 2.6857 1.1802 1.0478
Ac 0.9669 -2.8650 0.7488
Dy 2.8487 -1.4783 3.6247
```

**SG**: P4/mmm, No. 123
**Energy relative to the elements**: 58 kJ/mol of formula units
**Energy relative to the lowest polymorph listed for this composition**: 0.071 eV per atom